Computed, not measured: a relaxed RhS3Br crystal at the PBE-GGA level of DFT.

Structure (extended XYZ):
```
5
Lattice="-1.5388 4.3728 0.5403 -4.3779 -1.5820 0.3349 0.4970 -0.3964 4.6235" Properties=species:S:1:pos:R:3 pbc="T T T"
S -2.1890 -0.7910 0.1675
S -0.7694 2.1864 0.2701
S 0.2485 -0.1982 2.3118
Rh 0.0000 0.0000 0.0000
Br -2.7099 1.1972 2.7494
```

Calculated values
The total energy is -3.7015 eV/atom. For the uncorrected formation energy, the calculation gives 580 meV per atom. The calculation puts the density of states at the Fermi level at 6.5 states/eV/cell. Its polymorph energy (0 for the lowest one) is 0.000 eV/atom. As for the space-group type: Pm-3m (221).

---

Computed, not measured: a relaxed RhS2Br crystal at the PBE-GGA level of DFT.

Structure (extended XYZ):
```
8
Lattice="3.5935 -0.0001 -0.0024 0.0005 6.9793 0.0352 0.0123 7.2384 7.8445" Properties=species:S:1:pos:R:3 pbc="T T T"
Rh 0.9575 10.8187 5.2085
Rh 2.7542 7.6957 5.2831
S 0.9565 7.0938 3.8468
S 0.9563 5.1717 3.2975
S 2.7535 9.7327 4.1714
S 0.9583 8.7185 6.4772
Br 2.7551 12.2922 6.4958
Br 0.9488 1.1720 0.8764
```

Calculated values
The total energy is -4.6331 eV/atom. For the uncorrected formation energy, the calculation gives -313 meV per atom. The calculation puts the density of states at the Fermi level at 0.0 states/eV/cell. Its polymorph energy (0 for the lowest one) is 0.021 eV/atom. As for the space-group type: Pm (6).